The following is a DFT calculation (PBE-GGA) of a geometry-optimized ThBC structure.

Geometry as POSCAR:
```
ThBC
1.0
-3.184 -1.357 -1.146
1.196 -2.041 2.774
-3.333 4.076 4.437
C B Th
2 2 2
direct
0.373 0.127 0.750 C
0.627 0.873 0.250 C
0.617 0.883 0.750 B
0.383 0.117 0.250 B
0.000 0.500 0.000 Th
0.000 0.500 0.500 Th
```

**Formation energy from the elements**: 0.3 eV per formula unit

The following is a DFT calculation (PBE-GGA) of a geometry-optimized CaRe2Si structure.

Geometry as POSCAR:
```
CaRe2Si
1.0
4.261 0.000 0.000
0.000 4.261 0.000
2.130 2.130 9.046
Re Si Ca
4 2 2
direct
0.239 0.625 0.250 Re
0.375 0.489 0.750 Re
0.875 0.761 0.750 Re
0.511 0.125 0.250 Re
0.250 0.750 0.500 Si
0.500 0.500 0.000 Si
0.750 0.250 0.500 Ca
0.000 0.000 0.000 Ca
```

**ΔE_f (raw)**: 57 kJ per mole of atoms

The following is a DFT calculation (PBE-GGA) of a geometry-optimized K2CuPt3 structure.

Geometry as POSCAR:
```
K2CuPt3
1.0
4.882 -0.143 -2.567
-3.102 4.557 -0.236
-0.218 0.130 5.510
K Pt Cu
2 3 1
direct
0.750 0.375 0.125 K
0.250 0.625 0.875 K
0.500 0.000 0.500 Pt
0.000 0.000 0.500 Pt
0.500 0.500 0.500 Pt
0.000 0.000 0.000 Cu
```

**Formation energy from the elements**: -0.7 eV per formula unit

The following is a DFT calculation (PBE-GGA) of a geometry-optimized SrLi6Ca2 structure.

Geometry as POSCAR:
```
SrLi6Ca2
1.0
-0.028 -2.868 -2.749
0.749 -6.160 6.417
-7.992 5.541 0.042
Ca Li Sr
2 6 1
direct
0.667 0.333 0.667 Ca
0.333 0.667 0.333 Ca
0.838 0.339 0.339 Li
0.162 0.000 0.661 Li
0.500 0.660 0.000 Li
0.838 0.000 0.339 Li
0.162 0.661 0.661 Li
0.500 0.340 0.000 Li
0.000 0.000 0.000 Sr
```

**Formation energy from the elements**: 0.6 eV per formula unit

The following is a DFT calculation (PBE-GGA) of a geometry-optimized Nd2Y3Tm4 structure.

Geometry as POSCAR:
```
Nd2Y3Tm4
1.0
-4.156 -2.189 -3.737
3.702 -3.735 -9.942
0.189 -11.115 -1.712
Tm Y Nd
8 6 4
direct
0.423 0.953 0.168 Tm
0.404 0.623 0.843 Tm
0.577 0.047 0.832 Tm
0.096 0.157 0.377 Tm
0.904 0.843 0.623 Tm
0.077 0.832 0.047 Tm
0.596 0.377 0.157 Tm
0.923 0.168 0.953 Tm
0.761 0.014 0.313 Y
0.739 0.687 0.986 Y
0.261 0.313 0.014 Y
0.250 0.649 0.351 Y
0.750 0.351 0.649 Y
0.239 0.986 0.687 Y
0.935 0.509 0.278 Nd
0.435 0.278 0.509 Nd
0.065 0.491 0.722 Nd
0.565 0.722 0.491 Nd
```

**Formation energy from the elements**: 0.9 eV per formula unit

The following is a DFT calculation (PBE-GGA) of a geometry-optimized CeTe2Rh structure.

Geometry as POSCAR:
```
CeTe2Rh
1.0
-0.622 -4.279 -1.664
-2.163 -2.484 7.196
-10.614 2.461 -2.341
Te Rh Ce
8 4 4
direct
0.750 0.641 0.977 Te
0.750 0.018 0.156 Te
0.250 0.482 0.656 Te
0.250 0.982 0.844 Te
0.250 0.359 0.023 Te
0.250 0.859 0.477 Te
0.750 0.141 0.523 Te
0.750 0.518 0.344 Te
0.750 0.358 0.132 Rh
0.750 0.858 0.368 Rh
0.250 0.142 0.632 Rh
0.250 0.642 0.868 Rh
0.250 0.711 0.181 Ce
0.750 0.289 0.819 Ce
0.250 0.211 0.319 Ce
0.750 0.789 0.681 Ce
```

**ΔE_f (raw)**: -89 kJ per mole of atoms

The following is a DFT calculation (PBE-GGA) of a geometry-optimized LaInB3 structure.

Geometry as POSCAR:
```
LaInB3
1.0
4.872 0.000 0.000
0.000 4.872 0.000
0.000 0.000 4.872
B In La
3 1 1
direct
0.000 0.500 0.000 B
0.000 0.000 0.500 B
0.500 0.000 0.000 B
0.500 0.500 0.500 In
0.000 0.000 0.000 La
```

**Formation energy from the elements**: 10.7 eV per formula unit

The following is a DFT calculation (PBE-GGA) of a geometry-optimized CaTc2As2 structure.

Geometry as POSCAR:
```
CaTc2As2
1.0
-3.788 -2.327 -1.261
1.919 -0.899 -4.107
0.847 -5.416 -1.019
As Tc Ca
2 2 1
direct
0.250 0.750 0.500 As
0.750 0.250 0.500 As
0.375 0.375 0.251 Tc
0.625 0.625 0.749 Tc
0.000 0.000 0.000 Ca
```

**Formation energy from the elements**: -1.3 eV per formula unit

The following is a DFT calculation (PBE-GGA) of a geometry-optimized Nd4Se5Br structure.

Geometry as POSCAR:
```
Nd4Se5Br
1.0
7.283 0.000 0.000
0.000 8.978 0.000
0.000 0.000 10.215
Se Br Nd
10 2 8
direct
0.177 0.000 0.500 Se
0.742 0.259 0.702 Se
0.742 0.741 0.702 Se
0.742 0.741 0.298 Se
0.258 0.759 0.798 Se
0.258 0.241 0.202 Se
0.258 0.241 0.798 Se
0.258 0.759 0.202 Se
0.823 0.500 0.000 Se
0.742 0.259 0.298 Se
0.219 0.500 0.500 Br
0.781 0.000 0.000 Br
0.535 0.720 0.000 Nd
0.013 0.500 0.241 Nd
0.465 0.220 0.500 Nd
0.987 0.000 0.259 Nd
0.465 0.780 0.500 Nd
0.535 0.280 0.000 Nd
0.013 0.500 0.759 Nd
0.987 0.000 0.741 Nd
```

**ΔE_f (raw)**: -159 kJ per mole of atoms

The following is a DFT calculation (PBE-GGA) of a geometry-optimized Li2GaPd6 structure.

Geometry as POSCAR:
```
Li2GaPd6
1.0
-2.582 1.737 2.675
-3.388 -4.659 -0.245
6.050 -1.007 3.343
Pd Li Ga
6 2 1
direct
0.167 0.423 0.335 Pd
0.167 0.913 0.335 Pd
0.500 0.253 0.000 Pd
0.833 0.577 0.665 Pd
0.500 0.747 0.000 Pd
0.833 0.087 0.665 Pd
0.333 0.332 0.664 Li
0.667 0.668 0.336 Li
0.000 0.000 0.000 Ga
```

**Formation energy from the elements**: -1.6 eV per formula unit

The following is a DFT calculation (PBE-GGA) of a geometry-optimized CeFeSb2 structure.

Geometry as POSCAR:
```
CeFeSb2
1.0
-0.603 2.946 -1.320
0.835 0.604 -3.119
-9.352 -2.168 -4.654
Sb Ce Fe
2 1 1
direct
0.082 0.082 0.755 Sb
0.918 0.918 0.245 Sb
0.500 0.500 0.500 Ce
0.000 0.000 0.000 Fe
```

**ΔE_f (raw)**: 21 kJ per mole of atoms

The following is a DFT calculation (PBE-GGA) of a geometry-optimized Sc3Ag2Pb structure.

Geometry as POSCAR:
```
Sc3Ag2Pb
1.0
-1.756 -0.148 3.081
1.980 -4.404 0.917
4.742 5.493 2.968
Sc Ag Pb
3 2 1
direct
0.500 0.500 0.000 Sc
0.500 0.173 0.346 Sc
0.500 0.827 0.654 Sc
0.000 0.329 0.658 Ag
0.000 0.671 0.342 Ag
0.000 0.000 0.000 Pb
```

**Formation energy from the elements**: -1.8 eV per formula unit

| no. | total magnetization (μB per formula unit) | N(E_F) (states/eV/f.u.) |
| --- | --- | --- |
| 1 | 0.0 | 1.89 |
| 2 | 0.0 | 1.46 |
| 3 | 0.0 | 2.79 |
| 4 | 0.0 | 5.80 |
| 5 | 0.0 | 13.65 |
| 6 | 0.7 | 6.79 |
| 7 | 0.0 | 3.92 |
| 8 | 0.0 | 4.99 |
| 9 | 1.0 | 0.38 |
| 10 | 0.0 | 4.60 |
| 11 | 3.0 | 7.72 |
| 12 | 0.0 | 5.91 |